# Pm3Nd2Ge2

A geometry-optimized Pm3Nd2Ge2 structure (PBE, Alexandria via LeMat-Bulk).

Calculated values
D(E_F), states/eV per cell: 13.728
DFT formation energy, eV per atom: -0.516

abc: 12.0194 4.2978 8.5951
angles: 90.00 110.84 90.00
Last column: nearest neighbours and their distance in Å.
Space group C2/m (No. 12)
One atom of each set of equivalent atoms:
Pm: 0.0000 0.0000 0.0000 x2  4 Ge 3.05
Pm: 0.1305 0.0000 0.4424 x4  3 Ge 3.13-3.14, 2 Pm 3.44
Nd: 0.1501 0.5000 0.8061 x4  3 Ge 3.07-3.33
Ge: 0.1700 0.5000 0.2031 x4  5 Pm 3.05-3.14, 3 Nd 3.07-3.33

---

# PmNdGe

A geometry-optimized PmNdGe structure (PBE, Alexandria via LeMat-Bulk).

Calculated values
D(E_F), states/eV per cell: 11.658
DFT formation energy, eV per atom: -0.536
Energy above the most stable polymorph in this dataset, eV/f.u.: 0.23

abc: 7.1398 7.1398 7.1398
angles: 90.00 90.00 90.00
Last column: nearest neighbours and their distance in Å.
Space group F-43m (No. 216)
One atom of each set of equivalent atoms:
Pm: 0.0000 0.0000 0.0000 x4  4 Ge 3.09
Nd: 0.0000 0.0000 0.5000 x4  4 Ge 3.09
Ge: 0.2500 0.2500 0.2500 x4  4 Nd 3.09, 4 Pm 3.09

---

# PmNdGe

A geometry-optimized PmNdGe structure (PBE, Alexandria via LeMat-Bulk).

Calculated values
D(E_F), states/eV per cell: 11.080
DFT formation energy, eV per atom: -0.611
Energy above the most stable polymorph in this dataset, eV/f.u.: 0.00

abc: 8.1859 8.1859 4.3140
angles: 90.00 90.00 120.00
Last column: nearest neighbours and their distance in Å.
Space group P-62m (No. 189)
One atom of each set of equivalent atoms:
Pm: 0.0000 0.2649 0.0000 x3  4 Ge 3.05-3.06
Nd: 0.0000 0.5908 0.5000 x3  5 Ge 3.28-3.35, 6 Pm 3.43-3.65
Ge: 0.0000 0.0000 0.5000 x1  6 Pm 3.06, 3 Nd 3.35
Ge: 0.3333 0.6667 0.0000 x2  3 Pm 3.05, 6 Nd 3.28

---

# Pm5NdGe2

A geometry-optimized Pm5NdGe2 structure (PBE, Alexandria via LeMat-Bulk).

Calculated values
D(E_F), states/eV per cell: 20.705
DFT formation energy, eV per atom: -0.336

abc: 4.5374 9.5989 10.9603
angles: 90.00 90.00 90.00
Last column: nearest neighbours and their distance in Å.
Space group Immm (No. 71)
One atom of each set of equivalent atoms:
Pm: 0.0000 0.0000 0.0000 x2  2 Ge 3.18, 8 Pm 3.39
Pm: 0.0000 0.3106 0.3403 x8  3 Ge 3.03-3.24, 4 Pm 3.23-3.39
Nd: 0.0000 0.5000 0.0000 x2  4 Ge 3.23
Ge: 0.0000 0.0000 0.2901 x4  7 Pm 3.03-3.24, 2 Nd 3.23

---

# Pm2NdGe2

A geometry-optimized Pm2NdGe2 structure (PBE, Alexandria via LeMat-Bulk).

Calculated values
D(E_F), states/eV per cell: 5.684
DFT formation energy, eV per atom: -0.646
Energy above the most stable polymorph in this dataset, eV/f.u.: 0.45

abc: 6.2759 5.1327 8.8936
angles: 90.00 90.01 90.00
Last column: nearest neighbours and their distance in Å.
Space group P2_1/m (No. 11)
One atom of each set of equivalent atoms:
Pm: 0.1895 0.2500 0.0838 x2  5 Ge 3.03-3.25
Pm: 0.1905 0.7500 0.5830 x2  5 Ge 3.03-3.24
Nd: 0.4994 0.2500 0.7506 x2  6 Ge 3.23-3.24, 6 Pm 3.54-3.55
Ge: 0.2927 0.2500 0.4167 x2  5 Pm 3.03-3.24, 3 Nd 3.24
Ge: 0.2927 0.7500 0.9166 x2  5 Pm 3.03-3.25, 3 Nd 3.23

---

# Pm2NdGe

A geometry-optimized Pm2NdGe structure (PBE, Alexandria via LeMat-Bulk).

Calculated values
D(E_F), states/eV per cell: 19.723
DFT formation energy, eV per atom: -0.056
Energy above the most stable polymorph in this dataset, eV/f.u.: 1.22

abc: 3.7118 3.7118 33.3802
angles: 90.00 90.00 120.00
Last column: nearest neighbours and their distance in Å.
Space group R-3m (No. 166, hexagonal axes)
One atom of each set of equivalent atoms:
Pm: 0.0000 0.0000 0.1067 x6  3 Ge 2.93
Nd: 0.0000 0.0000 0.0000 x3  2 Pm 3.56, 6 Nd 3.71
Ge: 0.0000 0.0000 0.5000 x3  6 Pm 2.93

---

# Pm6NdGe2

A geometry-optimized Pm6NdGe2 structure (PBE, Alexandria via LeMat-Bulk).

Calculated values
D(E_F), states/eV per cell: 9.138
DFT formation energy, eV per atom: -0.302

abc: 8.1322 8.1322 4.6775
angles: 90.00 90.00 120.00
Last column: nearest neighbours and their distance in Å.
Space group P-62m (No. 189)
One atom of each set of equivalent atoms:
Pm: 0.0000 0.4203 0.0000 x3  4 Ge 3.38, 1 Nd 3.42, 2 Pm 3.42
Pm: 0.0000 0.7276 0.5000 x3  2 Ge 2.99, 2 Nd 3.22
Nd: 0.0000 0.0000 0.0000 x1  9 Pm 3.22-3.42
Ge: 0.3333 0.6667 0.5000 x2  3 Pm 2.99

---

# PmNd2Ge

A geometry-optimized PmNd2Ge structure (PBE, Alexandria via LeMat-Bulk).

Calculated values
D(E_F), states/eV per cell: 21.243
DFT formation energy, eV per atom: -0.429
Energy above the most stable polymorph in this dataset, eV/f.u.: 0.00

abc: 4.1845 12.3688 9.4790
angles: 90.00 90.00 90.00
Last column: nearest neighbours and their distance in Å.
Space group Cmcm (No. 63)
One atom of each set of equivalent atoms:
Pm: 0.0000 0.0685 0.2500 x4  2 Ge 3.03
Nd: 0.0000 0.3552 0.0560 x8  3 Ge 3.10-3.16
Ge: 0.0000 0.2545 0.7500 x4  2 Pm 3.03, 6 Nd 3.10-3.16

---

# PmNdGe

A geometry-optimized PmNdGe structure (PBE, Alexandria via LeMat-Bulk).

Calculated values
D(E_F), states/eV per cell: 1.778
DFT formation energy, eV per atom: -0.386
Energy above the most stable polymorph in this dataset, eV/f.u.: 0.67

abc: 4.7955 4.7955 4.3170
angles: 90.00 90.00 120.00
Last column: nearest neighbours and their distance in Å.
Space group P3m1 (No. 156)
One atom of each set of equivalent atoms:
Pm: 0.0000 0.0000 0.0000 x1  3 Ge 2.92
Nd: 0.6667 0.3333 0.4585 x1  3 Ge 3.10, 3 Pm 3.40
Ge: 0.3333 0.6667 0.7840 x1  3 Pm 2.92, 3 Nd 3.10

---

# Pm2Nd3Ge3

A geometry-optimized Pm2Nd3Ge3 structure (PBE, Alexandria via LeMat-Bulk).

Calculated values
D(E_F), states/eV per cell: 26.526
DFT formation energy, eV per atom: -0.663

abc: 4.4944 13.1235 15.1370
angles: 90.00 90.00 90.00
Last column: nearest neighbours and their distance in Å.
Space group Cmcm (No. 63)
One atom of each set of equivalent atoms:
Pm: 0.0000 0.2238 0.0894 x8  4 Ge 2.96-3.10
Nd: 0.0000 0.0589 0.6196 x8  6 Ge 3.18-3.29
Nd: 0.0000 0.3647 0.7500 x4  3 Ge 3.28-3.63, 4 Pm 3.51
Ge: 0.0000 0.3586 0.2500 x4  2 Pm 3.01, 4 Nd 3.18
Ge: 0.0000 0.4102 0.5367 x8  1 Ge 2.61

---

# Pm3NdGe

A geometry-optimized Pm3NdGe structure (PBE, Alexandria via LeMat-Bulk).

Calculated values
D(E_F), states/eV per cell: 21.043
DFT formation energy, eV per atom: -0.250

abc: 6.7466 9.9323 9.4213
angles: 90.00 90.00 90.00
Last column: nearest neighbours and their distance in Å.
Space group Pnma (No. 62)
One atom of each set of equivalent atoms:
Pm: 0.1223 0.0583 0.1840 x8  2 Ge 3.14
Pm: 0.2486 0.2500 0.4941 x4  2 Ge 3.00
Nd: 0.2441 0.7500 0.3706 x4  2 Ge 3.22, 2 Pm 3.55-3.56
Ge: 0.0000 0.0000 0.5000 x4  6 Pm 3.00-3.14, 2 Nd 3.22

---

# Pm2NdGe

A geometry-optimized Pm2NdGe structure (PBE, Alexandria via LeMat-Bulk).

Calculated values
D(E_F), states/eV per cell: 4.213
DFT formation energy, eV per atom: -0.344
Energy above the most stable polymorph in this dataset, eV/f.u.: 0.07

abc: 4.7977 4.7977 4.7802
angles: 90.00 90.00 90.00
Last column: nearest neighbours and their distance in Å.
Space group P4/mmm (No. 123)
One atom of each set of equivalent atoms:
Pm: 0.0000 0.5000 0.0000 x2  4 Ge 3.39, 4 Nd 3.39, 4 Pm 3.39
Nd: 0.0000 0.0000 0.5000 x1  8 Pm 3.39, 4 Ge 3.39
Ge: 0.5000 0.5000 0.5000 x1  8 Pm 3.39, 4 Nd 3.39

---

Among the records above, which one has the lowest D(E_F)? number 9